Computed, not measured: a relaxed structure of Tc3P5 at the PBE level of DFT.

The value obtained for the energy above the most stable polymorph in this dataset is 3.19 kcal/mol of atoms. The formation energy is 0.04 eV/atom.

It has space group Cmmm (No. 65), with a = 6.044 Å, b = 8.643 Å, c = 4.116 Å, α = 90.00°, β = 90.00° and γ = 90.00°. The inequivalent atoms are Tc at (0.000, 0.000, 0.000), Tc at (0.000, 0.240, 0.500), P at (0.000, 0.500, 0.000), P at (0.231, 0.000, 0.500) and P at (0.250, 0.250, 0.000).

Computed, not measured: a relaxed structure of Tc6P7 at the PBE level of DFT.

The formation energy is 0.25 eV/atom.

It has space group R-3m (No. 166, hexagonal axes), with a = 4.8586 Å, b = 4.8586 Å, c = 26.3137 Å, α = 90.00°, β = 90.00° and γ = 120.00°. The inequivalent atoms are Tc at (0.0000, 0.0000, 0.0558), Tc at (0.0000, 0.0000, 0.1788), Tc at (0.0000, 0.0000, 0.3238), P at (0.0000, 0.0000, 0.5000) and P at (0.0051, 0.5025, 0.0808).

Computed, not measured: a relaxed structure of TcP2 at the PBE level of DFT.

The value obtained for the energy above the most stable polymorph in this dataset is 22.29 kcal/mol of atoms. The formation energy is 0.57 eV/atom.

It has space group P6/mmm (No. 191), with a = 4.0471 Å, b = 4.0471 Å, c = 2.8778 Å, α = 90.00°, β = 90.00° and γ = 120.00°. The inequivalent atoms are Tc at (0.0000, 0.0000, 0.0000) and P at (0.3333, 0.6667, 0.5000).

Computed, not measured: a relaxed structure of TcP at the PBE level of DFT.

The value obtained for the energy above the most stable polymorph in this dataset is 21.67 kcal/mol of atoms. The formation energy is 0.37 eV/atom.

It has space group Fd-3m (No. 227, origin choice 2), with a = 6.066 Å, b = 6.066 Å, c = 6.066 Å, α = 90.00°, β = 90.00° and γ = 90.00°. The inequivalent atoms are Tc at (0.125, 0.125, 0.125) and P at (0.125, 0.125, 0.625).

Computed, not measured: a relaxed structure of TcP at the PBE level of DFT.

The value obtained for the energy above the most stable polymorph in this dataset is 8.30 kcal/mol of atoms. The formation energy is -0.21 eV/atom.

It has space group Cm (No. 8), with a = 10.298 Å, b = 2.964 Å, c = 5.631 Å, α = 90.00°, β = 93.65° and γ = 90.00°. The inequivalent atoms are Tc at (0.000, 0.000, 0.000), Tc at (0.067, 0.000, 0.526), Tc at (0.336, 0.000, 0.677), P at (0.165, 0.500, 0.840), P at (0.214, 0.500, 0.350) and P at (0.419, 0.000, 0.286).

Computed, not measured: a relaxed structure of TcP2 at the PBE level of DFT.

The value obtained for the energy above the most stable polymorph in this dataset is 9.19 kcal/mol of atoms. The formation energy is 0.01 eV/atom.

It has space group Cmcm (No. 63), with a = 7.624 Å, b = 4.822 Å, c = 4.495 Å, α = 90.00°, β = 90.00° and γ = 90.00°. The inequivalent atoms are Tc at (0.000, 0.200, 0.250) and P at (0.164, 0.264, 0.750).

Computed, not measured: a relaxed structure of TcP at the PBE level of DFT.

The value obtained for the energy above the most stable polymorph in this dataset is 1.51 kcal/mol of atoms. The formation energy is -0.50 eV/atom.

It has space group I4_1md (No. 109), with a = 3.125 Å, b = 3.125 Å, c = 11.435 Å, α = 90.00°, β = 90.00° and γ = 90.00°. The inequivalent atoms are Tc at (0.000, 0.000, 0.000) and P at (0.000, 0.000, 0.412).

Computed, not measured: a relaxed structure of TcP2 at the PBE level of DFT.

The value obtained for the energy above the most stable polymorph in this dataset is 0.37 kcal/mol of atoms. The formation energy is -0.38 eV/atom.

It has space group C2/m (No. 12), with a = 8.232 Å, b = 3.341 Å, c = 7.280 Å, α = 90.00°, β = 120.03° and γ = 90.00°. The inequivalent atoms are Tc at (0.156, 0.000, 0.206), P at (0.099, 0.500, 0.903) and P at (0.145, 0.000, 0.532).

Computed, not measured: a relaxed structure of Tc3P5 at the PBE level of DFT.

The value obtained for the energy above the most stable polymorph in this dataset is 0.00 kcal/mol of atoms. The formation energy is -0.10 eV/atom.

It has space group Cm (No. 8), with a = 7.253 Å, b = 11.406 Å, c = 6.776 Å, α = 90.00°, β = 122.21° and γ = 90.00°. The inequivalent atoms are Tc at (0.000, 0.000, 0.000), Tc at (0.125, 0.368, 0.258), Tc at (0.217, 0.253, 0.750), Tc at (0.259, 0.000, 0.528), P at (0.072, 0.401, 0.878), P at (0.193, 0.189, 0.077), P at (0.349, 0.197, 0.480), P at (0.378, 0.000, 0.266), P at (0.380, 0.500, 0.266) and P at (0.448, 0.397, 0.652).

Computed, not measured: a relaxed structure of TcP2 at the PBE level of DFT.

The value obtained for the energy above the most stable polymorph in this dataset is 3.47 kcal/mol of atoms. The formation energy is -0.24 eV/atom.

It has space group C2/m (No. 12), with a = 8.436 Å, b = 2.983 Å, c = 7.525 Å, α = 90.00°, β = 92.68° and γ = 90.00°. The inequivalent atoms are Tc at (0.081, 0.000, 0.167), P at (0.105, 0.500, 0.416) and P at (0.137, 0.500, 0.891).

Computed, not measured: a relaxed structure of TcP at the PBE level of DFT.

The value obtained for the energy above the most stable polymorph in this dataset is 3.50 kcal/mol of atoms. The formation energy is -0.42 eV/atom.

It has space group C2/m (No. 12), with a = 8.352 Å, b = 3.010 Å, c = 4.391 Å, α = 90.00°, β = 105.08° and γ = 90.00°. The inequivalent atoms are Tc at (0.119, 0.000, 0.292) and P at (0.120, 0.500, 0.836).

Computed, not measured: a relaxed structure of Tc5P at the PBE level of DFT.

The value obtained for the energy above the most stable polymorph in this dataset is 0.00 kcal/mol of atoms. The formation energy is -0.11 eV/atom.

It has space group Cm (No. 8), with a = 10.891 Å, b = 2.913 Å, c = 5.569 Å, α = 90.00°, β = 103.75° and γ = 90.00°. The inequivalent atoms are Tc at (0.000, 0.000, 0.000), Tc at (0.038, 0.000, 0.561), Tc at (0.161, 0.500, 0.334), Tc at (0.223, 0.500, 0.880), Tc at (0.357, 0.000, 0.275) and P at (0.347, 0.000, 0.696).

Computed, not measured: a relaxed structure of TcP at the PBE level of DFT.

The value obtained for the energy above the most stable polymorph in this dataset is 9.48 kcal/mol of atoms. The formation energy is -0.16 eV/atom.

It has space group R-3m (No. 166, hexagonal axes), with a = 2.9521 Å, b = 2.9521 Å, c = 22.2694 Å, α = 90.00°, β = 90.00° and γ = 120.00°. The inequivalent atoms are Tc at (0.0000, 0.0000, 0.1156) and P at (0.0000, 0.0000, 0.3750).

Computed, not measured: a relaxed structure of TcP at the PBE level of DFT.

The value obtained for the energy above the most stable polymorph in this dataset is 4.46 kcal/mol of atoms. The formation energy is -0.38 eV/atom.

It has space group Pm-3m (No. 221), with a = 2.948 Å, b = 2.948 Å, c = 2.948 Å, α = 90.00°, β = 90.00° and γ = 90.00°. The inequivalent atoms are Tc at (0.000, 0.000, 0.000) and P at (0.500, 0.500, 0.500).